No. 1
This record from the Alexandria database describes a geometry-optimized SrRh2Au structure. The functional is GGA-PBE.

## Properties
E_form = 106 meV/atom
Density of states at the Fermi level = 1.1484 states/eV/atom
Crystal system = monoclinic
Total energy = -19.24 eV for the cell shown

Structure (CIF):
```
data_SrRh2Au
_chemical_formula_sum 'Sr1 Rh2 Au1'
_symmetry_space_group_name_H-M 'P 1 2/m 1'
_symmetry_Int_Tables_number 10
_cell_length_a 3.041
_cell_length_b 4.720
_cell_length_c 5.596
_cell_angle_alpha 90.00
_cell_angle_beta 99.48
_cell_angle_gamma 90.00
loop_
_symmetry_equiv_pos_as_xyz
'x,y,z'
'-x,-y,-z'
'-x,y,-z'
'x,-y,z'
loop_
_atom_site_label
_atom_site_type_symbol
_atom_site_fract_x
_atom_site_fract_y
_atom_site_fract_z
Sr1 Sr 0.000 0.000 0.000
Rh1 Rh 0.313 0.500 0.700
Au1 Au 0.500 0.000 0.500
```

---

No. 2
This record from the Alexandria database describes a geometry-optimized LaTlPt10 structure. The functional is GGA-PBE.

## Properties
E_form = -391 meV/atom
Density of states at the Fermi level = 0.5985 states/eV/atom
Crystal system = orthorhombic
Total energy = -72.39 eV for the cell shown

Structure (CIF):
```
data_LaTlPt10
_chemical_formula_sum 'La1 Tl1 Pt10'
_symmetry_space_group_name_H-M 'P m m m'
_symmetry_Int_Tables_number 47
_cell_length_a 4.420
_cell_length_b 5.468
_cell_length_c 9.375
_cell_angle_alpha 90.00
_cell_angle_beta 90.00
_cell_angle_gamma 90.00
loop_
_symmetry_equiv_pos_as_xyz
'x,y,z'
'-x,-y,-z'
'-x,-y,z'
'x,y,-z'
'x,-y,-z'
'-x,y,z'
'-x,y,-z'
'x,-y,z'
loop_
_atom_site_label
_atom_site_type_symbol
_atom_site_fract_x
_atom_site_fract_y
_atom_site_fract_z
La1 La 0.000 0.000 0.000
Tl1 Tl 0.000 0.500 0.500
Pt1 Pt 0.000 0.000 0.338
Pt2 Pt 0.000 0.500 0.174
Pt3 Pt 0.500 0.000 0.500
Pt4 Pt 0.500 0.247 0.246
Pt5 Pt 0.500 0.500 0.000
```

---

No. 3
This record from the Alexandria database describes a geometry-optimized TaInRe2 structure. The functional is GGA-PBE.

## Properties
E_form = 294 meV/atom
Density of states at the Fermi level = 0.8483 states/eV/atom
Crystal system = monoclinic
Total energy = -76.62 eV for the cell shown

Structure (CIF):
```
data_TaInRe2
_chemical_formula_sum 'Ta2 In2 Re4'
_symmetry_space_group_name_H-M 'C 1 2/m 1'
_symmetry_Int_Tables_number 12
_cell_length_a 9.426
_cell_length_b 3.077
_cell_length_c 4.926
_cell_angle_alpha 90.00
_cell_angle_beta 106.03
_cell_angle_gamma 90.00
loop_
_symmetry_equiv_pos_as_xyz
'x,y,z'
'-x,-y,-z'
'-x,y,-z'
'x,-y,z'
'x+1/2,y+1/2,z'
'-x+1/2,-y+1/2,-z'
'-x+1/2,y+1/2,-z'
'x+1/2,-y+1/2,z'
loop_
_atom_site_label
_atom_site_type_symbol
_atom_site_fract_x
_atom_site_fract_y
_atom_site_fract_z
Ta1 Ta 0.000 0.000 0.000
In1 In 0.000 0.500 0.500
Re1 Re 0.237 0.500 0.230
```

---

No. 4
This record from the Alexandria database describes a geometry-optimized Pr2AgAu3 structure. The functional is GGA-PBE.

## Properties
E_form = -640 meV/atom
Density of states at the Fermi level = 0.7708 states/eV/atom
Crystal system = orthorhombic
Total energy = -208.67 eV for the cell shown

Structure (CIF):
```
data_Pr2AgAu3
_chemical_formula_sum 'Pr16 Ag8 Au24'
_symmetry_space_group_name_H-M 'F m m m'
_symmetry_Int_Tables_number 69
_symmetry_space_group_name_Hall '-F 2 2'
_cell_length_a 7.215
_cell_length_b 9.576
_cell_length_c 16.637
_cell_angle_alpha 90.00
_cell_angle_beta 90.00
_cell_angle_gamma 90.00
loop_
_atom_site_label
_atom_site_type_symbol
_atom_site_fract_x
_atom_site_fract_y
_atom_site_fract_z
Pr1 Pr 0.249 0.000 0.000
Pr2 Pr 0.250 0.250 0.250
Ag1 Ag 0.000 0.000 0.333
Au1 Au 0.000 0.000 0.168
Au2 Au 0.000 0.248 0.416
```

---

No. 5
This record from the Alexandria database describes a geometry-optimized NaHg5Se4 structure. The functional is GGA-PBE.

## Properties
Density of states at the Fermi level = 0.2757 states/eV/atom
Crystal system = orthorhombic
Total energy = -37.37 eV for the cell shown

Structure (CIF):
```
data_NaHg5Se4
_chemical_formula_sum 'Na2 Hg10 Se8'
_symmetry_space_group_name_H-M 'P m m n'
_symmetry_Int_Tables_number 59
_cell_length_a 8.872
_cell_length_b 10.374
_cell_length_c 6.466
_cell_angle_alpha 90.00
_cell_angle_beta 90.00
_cell_angle_gamma 90.00
loop_
_symmetry_equiv_pos_as_xyz
'x,y,z'
'-x,-y,-z'
'-x+1/2,-y+1/2,z'
'x+1/2,y+1/2,-z'
'x+1/2,-y,-z'
'-x+1/2,y,z'
'-x,y+1/2,-z'
'x,-y+1/2,z'
loop_
_atom_site_label
_atom_site_type_symbol
_atom_site_fract_x
_atom_site_fract_y
_atom_site_fract_z
Na1 Na 0.250 0.250 0.134
Hg1 Hg 0.023 0.535 0.276
Hg2 Hg 0.250 0.750 0.728
Se1 Se 0.015 0.250 0.463
Se2 Se 0.250 0.520 0.973
```

---

No. 6
This record from the Alexandria database describes a geometry-optimized Na2Zn2In structure. The functional is GGA-PBE.

## Properties
E_form = 142 meV/atom
Density of states at the Fermi level = 0.4133 states/eV/atom
Crystal system = tetragonal
Relative energy among the computed polymorphs = 0.142 eV/atom
Total energy = -14.43 eV for the cell shown

Structure (CIF):
```
data_Na2Zn2In
_chemical_formula_sum 'Na4 Zn4 In2'
_symmetry_space_group_name_H-M 'P 4/m b m'
_symmetry_Int_Tables_number 127
_symmetry_space_group_name_Hall '-P 4 2ab'
_cell_length_a 8.894
_cell_length_b 8.894
_cell_length_c 3.054
_cell_angle_alpha 90.00
_cell_angle_beta 90.00
_cell_angle_gamma 90.00
loop_
_atom_site_label
_atom_site_type_symbol
_atom_site_fract_x
_atom_site_fract_y
_atom_site_fract_z
Na1 Na 0.132 0.368 0.000
Zn1 Zn 0.165 0.665 0.500
In1 In 0.000 0.000 0.000
```

---

No. 7
This record from the Alexandria database describes a geometry-optimized Nd3GaCu3 structure. The functional is GGA-PBE.

## Properties
E_form = -274 meV/atom
Density of states at the Fermi level = 0.9703 states/eV/atom
Crystal system = monoclinic
Total energy = -126.13 eV for the cell shown

Structure (CIF):
```
data_Nd3GaCu3
_chemical_formula_sum 'Nd12 Ga4 Cu12'
_symmetry_space_group_name_H-M 'C 1 2/m 1'
_symmetry_Int_Tables_number 12
_cell_length_a 10.488
_cell_length_b 4.321
_cell_length_c 14.819
_cell_angle_alpha 90.00
_cell_angle_beta 109.98
_cell_angle_gamma 90.00
loop_
_symmetry_equiv_pos_as_xyz
'x,y,z'
'-x,-y,-z'
'-x,y,-z'
'x,-y,z'
'x+1/2,y+1/2,z'
'-x+1/2,-y+1/2,-z'
'-x+1/2,y+1/2,-z'
'x+1/2,-y+1/2,z'
loop_
_atom_site_label
_atom_site_type_symbol
_atom_site_fract_x
_atom_site_fract_y
_atom_site_fract_z
Nd1 Nd 0.040 0.000 0.389
Nd2 Nd 0.104 0.000 0.920
Nd3 Nd 0.243 0.500 0.767
Ga1 Ga 0.250 0.000 0.603
Cu1 Cu 0.051 0.500 0.234
Cu2 Cu 0.101 0.500 0.078
Cu3 Cu 0.132 0.500 0.541
```

---

No. 8
This record from the Alexandria database describes a geometry-optimized Cs2SnTe4 structure. The functional is GGA-PBE.

## Properties
Density of states at the Fermi level = 0.3938 states/eV/atom
Crystal system = monoclinic
Relative energy among the computed polymorphs = 0.175 eV/atom
Total energy = -21.53 eV for the cell shown

Structure (CIF):
```
data_Cs2SnTe4
_chemical_formula_sum 'Cs2 Sn1 Te4'
_symmetry_space_group_name_H-M 'P 1 2/m 1'
_symmetry_Int_Tables_number 10
_cell_length_a 9.038
_cell_length_b 4.157
_cell_length_c 9.092
_cell_angle_alpha 90.00
_cell_angle_beta 107.43
_cell_angle_gamma 90.00
loop_
_symmetry_equiv_pos_as_xyz
'x,y,z'
'-x,-y,-z'
'-x,y,-z'
'x,-y,z'
loop_
_atom_site_label
_atom_site_type_symbol
_atom_site_fract_x
_atom_site_fract_y
_atom_site_fract_z
Cs1 Cs 0.209 0.000 0.319
Sn1 Sn 0.500 0.500 0.000
Te1 Te 0.115 0.500 0.928
Te2 Te 0.404 0.000 0.756
```

---

No. 9
This record from the Alexandria database describes a geometry-optimized LiEr2NbO6 structure. The functional is GGA-PBE.

## Properties
Density of states at the Fermi level = 0.0000 states/eV/atom
Crystal system = trigonal
Total energy = -243.76 eV for the cell shown

Structure (CIF):
```
data_LiEr2NbO6
_chemical_formula_sum 'Li3 Er6 Nb3 O18'
_symmetry_space_group_name_H-M 'R 3'
_symmetry_Int_Tables_number 146
_symmetry_space_group_name_Hall 'R 3'
_cell_length_a 5.5393
_cell_length_b 5.5393
_cell_length_c 15.0879
_cell_angle_alpha 90.00
_cell_angle_beta 90.00
_cell_angle_gamma 120.00
loop_
_atom_site_label
_atom_site_type_symbol
_atom_site_fract_x
_atom_site_fract_y
_atom_site_fract_z
Li1 Li 0.0000 0.0000 0.0000
Er1 Er 0.0000 0.0000 0.2490
Er2 Er 0.0000 0.0000 0.7471
Nb1 Nb 0.0000 0.0000 0.5428
O1 O 0.0050 0.7191 0.6388
O2 O 0.0323 0.3415 0.1516
```

---

No. 10
This record from the Alexandria database describes a geometry-optimized LaYNi10 structure. The functional is GGA-PBE.

## Properties
E_form = -299 meV/atom
Density of states at the Fermi level = 1.1279 states/eV/atom
Crystal system = orthorhombic
Total energy = -72.79 eV for the cell shown

Structure (CIF):
```
data_LaYNi10
_chemical_formula_sum 'La1 Y1 Ni10'
_symmetry_space_group_name_H-M 'P m m m'
_symmetry_Int_Tables_number 47
_cell_length_a 3.967
_cell_length_b 4.946
_cell_length_c 8.561
_cell_angle_alpha 90.00
_cell_angle_beta 90.00
_cell_angle_gamma 90.00
loop_
_symmetry_equiv_pos_as_xyz
'x,y,z'
'-x,-y,-z'
'-x,-y,z'
'x,y,-z'
'x,-y,-z'
'-x,y,z'
'-x,y,-z'
'x,-y,z'
loop_
_atom_site_label
_atom_site_type_symbol
_atom_site_fract_x
_atom_site_fract_y
_atom_site_fract_z
La1 La 0.000 0.000 0.000
Y1 Y 0.000 0.500 0.500
Ni1 Ni 0.000 0.000 0.337
Ni2 Ni 0.000 0.500 0.170
Ni3 Ni 0.500 0.000 0.500
Ni4 Ni 0.500 0.253 0.255
Ni5 Ni 0.500 0.500 0.000
```

---

No. 11
This record from the Alexandria database describes a geometry-optimized Ca12AlZn6 structure. The functional is GGA-PBE.

## Properties
E_form = -166 meV/atom
Density of states at the Fermi level = 0.8348 states/eV/atom
Crystal system = cubic
Total energy = -77.10 eV for the cell shown

Structure (CIF):
```
data_Ca12AlZn6
_chemical_formula_sum 'Ca24 Al2 Zn12'
_symmetry_space_group_name_H-M 'I m -3'
_symmetry_Int_Tables_number 204
_symmetry_space_group_name_Hall '-I 2 2 3'
_cell_length_a 10.452
_cell_length_b 10.452
_cell_length_c 10.452
_cell_angle_alpha 90.00
_cell_angle_beta 90.00
_cell_angle_gamma 90.00
loop_
_atom_site_label
_atom_site_type_symbol
_atom_site_fract_x
_atom_site_fract_y
_atom_site_fract_z
Ca1 Ca 0.000 0.184 0.287
Al1 Al 0.000 0.000 0.000
Zn1 Zn 0.000 0.376 0.500
```

---

No. 12
This record from the Alexandria database describes a geometry-optimized BeSiAs4 structure. The functional is GGA-PBE.

## Properties
Density of states at the Fermi level = 0.5256 states/eV/atom
Crystal system = cubic
Total energy = -90.35 eV for the cell shown

Structure (CIF):
```
data_BeSiAs4
_chemical_formula_sum 'Be4 Si4 As16'
_symmetry_space_group_name_H-M 'F -4 3 m'
_symmetry_Int_Tables_number 216
_symmetry_space_group_name_Hall 'F -4 2 3'
_cell_length_a 7.737
_cell_length_b 7.737
_cell_length_c 7.737
_cell_angle_alpha 90.00
_cell_angle_beta 90.00
_cell_angle_gamma 90.00
loop_
_atom_site_label
_atom_site_type_symbol
_atom_site_fract_x
_atom_site_fract_y
_atom_site_fract_z
Be1 Be 0.000 0.000 0.000
Si1 Si 0.250 0.250 0.750
As1 As 0.125 0.125 0.375
```

---

Number 1: calculated density 10.28 g cm⁻³. Number 2: calculated density 16.81 g cm⁻³. Number 3: calculated density 16.16 g cm⁻³. Number 4: calculated density 11.33 g cm⁻³. Number 5: calculated density 7.49 g cm⁻³. Number 6: calculated density 4.01 g cm⁻³. Number 7: calculated density 7.29 g cm⁻³. Number 8: calculated density 4.56 g cm⁻³. Number 9: calculated density 6.59 g cm⁻³. Number 10: calculated density 8.05 g cm⁻³. Number 11: calculated density 2.62 g cm⁻³. Number 12: calculated density 4.83 g cm⁻³.